Record 1
GGA-PBE NaTl3Cu, optimized geometry; polymorph energy (0 for the lowest one) = 0 meV/atom; formation energy = 112.7 meV/atom; raw total energy = -2.390 eV/atom
1.0
-3.5215 -3.8251 1.0698
2.8664 -1.4578 4.2232
-2.7495 3.3794 3.0327
Na Tl Cu
1 3 1
Direct
0.5000 0.5000 0.5000
0.0000 0.5000 0.0000
0.0000 0.0000 0.5000
0.5000 0.0000 0.0000
0.0000 0.0000 0.0000



Record 2
GGA-PBE NaTlCu, optimized geometry; formation energy = 104.1 meV/atom; raw total energy = -2.490 eV/atom
1.0
-7.3486 -3.8325 -0.1988
-2.6575 -3.5065 -7.0265
-1.8539 -5.3326 -1.5284
Cu Tl Na
3 3 3
Direct
0.0715 0.0715 0.7856
0.3248 0.3248 0.0257
0.8179 0.8179 0.5462
0.7387 0.4057 0.7828
0.0728 0.7387 0.7828
0.4057 0.0728 0.7828
0.5728 0.8850 0.2825
0.8850 0.2597 0.2825
0.2597 0.5728 0.2825



Record 3
GGA-PBE NaTl2Cu, optimized geometry; formation energy = 100.6 meV/atom; raw total energy = -2.436 eV/atom
1.0
-2.5415 -1.1668 -3.0284
1.5318 -1.1203 -3.6593
0.1053 -7.7854 0.1059
Na Tl Cu
1 2 1
Direct
0.5002 0.5002 0.4995
0.0634 0.0634 0.8098
0.2700 0.2700 0.1899
0.6664 0.6664 0.0007



Record 4
GGA-PBE NaTl2Cu, optimized geometry; formation energy = 101.5 meV/atom; raw total energy = -2.435 eV/atom
1.0
-1.3374 2.8993 2.2529
-3.6269 1.3604 -0.5147
-4.4393 -3.9935 5.8929
Na Tl Cu
1 2 1
Direct
0.5000 0.5000 0.5000
0.2681 0.2681 0.1956
0.7319 0.7319 0.8044
0.0000 0.0000 0.0000



Record 5
GGA-PBE Na2Tl2Cu, optimized geometry; polymorph energy (0 for the lowest one) = 163 meV/atom; formation energy = 232.8 meV/atom; raw total energy = -2.061 eV/atom
1.0
7.4363 0.0000 0.0000
0.0000 7.4363 0.0000
0.0000 0.0000 4.8410
Na Tl Cu
4 4 2
Direct
0.3549 0.8549 0.0000
0.8549 0.6451 0.0000
0.6451 0.1451 0.0000
0.1451 0.3549 0.0000
0.1706 0.6706 0.5000
0.6706 0.8294 0.5000
0.8294 0.3294 0.5000
0.3294 0.1706 0.5000
0.0000 0.0000 0.0000
0.5000 0.5000 0.0000



Record 6
GGA-PBE NaTmCu4, optimized geometry; formation energy = -32.9 meV/atom; raw total energy = -3.729 eV/atom
1.0
5.1414 0.0000 0.0000
2.5707 4.4526 0.0000
2.5707 1.4842 4.1979
Na Tm Cu
1 1 4
Direct
0.0000 0.0000 0.0000
0.2500 0.2500 0.2500
0.6256 0.6256 0.1233
0.6256 0.1233 0.6256
0.6256 0.6256 0.6256
0.1233 0.6256 0.6256



Number 1: density 7.77 Mg/m³. Number 2: density 7.24 Mg/m³. Number 3: density 7.54 Mg/m³. Number 4: density 7.70 Mg/m³. Number 5: density 6.43 Mg/m³. Number 6: density 7.71 Mg/m³.